No. 1
Sm2Ho5Er12 after structural relaxation, computed with GGA-PBE.

CIF file:
```
data_Sm2Ho5Er12
_chemical_formula_sum 'Sm2 Ho5 Er12'
_symmetry_space_group_name_H-M 'P 1'
_symmetry_Int_Tables_number 1
_symmetry_space_group_name_Hall 'P 1'
_cell_length_a 9.1524
_cell_length_b 12.2753
_cell_length_c 8.4390
_cell_angle_alpha 132.41
_cell_angle_beta 90.00
_cell_angle_gamma 111.89
loop_
_atom_site_label
_atom_site_type_symbol
_atom_site_fract_x
_atom_site_fract_y
_atom_site_fract_z
Er1 Er 0.6630 0.6878 0.9325
Er2 Er 0.4349 0.2535 0.5988
Er3 Er 0.8186 0.2535 0.5988
Er4 Er 0.3370 0.3122 0.0675
Er5 Er 0.5651 0.7465 0.4012
Er6 Er 0.9073 0.8145 0.6977
Er7 Er 0.4430 0.8860 0.2160
Er8 Er 0.5570 0.1140 0.7840
Er9 Er 0.1814 0.7465 0.4012
Er10 Er 0.9752 0.3122 0.0675
Er11 Er 0.0927 0.1855 0.3023
Er12 Er 0.0248 0.6878 0.9325
Ho1 Ho 0.2325 0.4650 0.8889
Ho2 Ho 0.0000 0.0000 0.5000
Ho3 Ho 0.6977 0.3954 0.3865
Ho4 Ho 0.3023 0.6046 0.6135
Ho5 Ho 0.7675 0.5350 0.1111
Sm1 Sm 0.3170 0.0000 0.0000
Sm2 Sm 0.6830 0.0000 0.0000
```

Properties
energy relative to the lowest polymorph listed for this composition = 109 meV per atom
space-group type = C2/m, No. 12
size of the total moment = 0.000 μB/atom


No. 2
YCo2Au after structural relaxation, computed with GGA-PBE.

CIF file:
```
data_YCo2Au
_chemical_formula_sum 'Y2 Co4 Au2'
_symmetry_space_group_name_H-M 'P 1'
_symmetry_Int_Tables_number 1
_symmetry_space_group_name_Hall 'P 1'
_cell_length_a 4.1615
_cell_length_b 4.1615
_cell_length_c 9.5516
_cell_angle_alpha 77.42
_cell_angle_beta 77.42
_cell_angle_gamma 90.00
loop_
_atom_site_label
_atom_site_type_symbol
_atom_site_fract_x
_atom_site_fract_y
_atom_site_fract_z
Au1 Au 0.0000 0.0000 0.0000
Au2 Au 0.7500 0.2500 0.5000
Co1 Co 0.9835 0.6250 0.2500
Co2 Co 0.3750 0.2335 0.7500
Co3 Co 0.8750 0.0165 0.7500
Co4 Co 0.7665 0.1250 0.2500
Y1 Y 0.2500 0.7500 0.5000
Y2 Y 0.5000 0.5000 0.0000
```

Properties
energy relative to the lowest polymorph listed for this composition = 350 meV per atom
space-group type = I-42d, No. 122
size of the total moment = 0.565 μB/atom


No. 3
Rb3HoI8 after structural relaxation, computed with GGA-PBE.

CIF file:
```
data_Rb3HoI8
_chemical_formula_sum 'Rb3 Ho1 I8'
_symmetry_space_group_name_H-M 'P 1'
_symmetry_Int_Tables_number 1
_symmetry_space_group_name_Hall 'P 1'
_cell_length_a 8.2443
_cell_length_b 8.2443
_cell_length_c 10.4681
_cell_angle_alpha 113.19
_cell_angle_beta 113.19
_cell_angle_gamma 90.00
loop_
_atom_site_label
_atom_site_type_symbol
_atom_site_fract_x
_atom_site_fract_y
_atom_site_fract_z
Rb1 Rb 0.2500 0.7500 0.5000
Rb2 Rb 0.7500 0.2500 0.5000
Rb3 Rb 0.5000 0.5000 0.0000
I1 I 0.3337 0.3337 0.2205
I2 I 0.1132 0.6663 0.7795
I3 I 0.3337 0.8868 0.2205
I4 I 0.8868 0.3337 0.2205
I5 I 0.6663 0.6663 0.7795
I6 I 0.1132 0.1132 0.7795
I7 I 0.6663 0.1132 0.7795
I8 I 0.8868 0.8868 0.2205
Ho1 Ho 0.0000 0.0000 0.0000
```

Properties
energy relative to the elements, uncorrected = -1.0393 eV/atom
space-group type = I4/mmm, No. 139
size of the total moment = 0.000 μB/atom


No. 4
Ba2SiSb after structural relaxation, computed with GGA-PBE.

CIF file:
```
data_Ba2SiSb
_chemical_formula_sum 'Ba2 Si1 Sb1'
_symmetry_space_group_name_H-M 'P 1'
_symmetry_Int_Tables_number 1
_symmetry_space_group_name_Hall 'P 1'
_cell_length_a 4.4290
_cell_length_b 5.2014
_cell_length_c 6.7309
_cell_angle_alpha 67.28
_cell_angle_beta 90.00
_cell_angle_gamma 90.00
loop_
_atom_site_label
_atom_site_type_symbol
_atom_site_fract_x
_atom_site_fract_y
_atom_site_fract_z
Si1 Si 0.5000 0.5527 0.7705
Ba1 Ba 0.5000 0.2681 0.3384
Ba2 Ba 0.0000 0.9879 0.8994
Sb1 Sb 0.0000 0.6913 0.4917
```

Properties
energy relative to the lowest polymorph listed for this composition = 0 meV per atom
energy relative to the elements, uncorrected = -0.5803 eV/atom
space-group type = Amm2, No. 38
size of the total moment = 0.000 μB/atom